DFT (GGA+U) results for a relaxed TiMnBi2O6 crystal.

Total magnetization: 10.0 Bohr magnetons per cell
Crystal system: monoclinic
Final energy: -7.1420 eV/atom

Lattice parameters (Å, degrees): 5.530 5.852 7.961 90.00 89.32 90.00
Each line ends with the local moment (μB).
Sites, in units of the cell vectors:
Ti (0.500, 0.000, 0.500)  0.08
Ti (0.000, 0.500, 0.000)  0.08
Mn (0.500, 0.000, 0.000)  4.61
Mn (0.000, 0.500, 0.500)  4.61
Bi (0.011, 0.948, 0.252)  0.00
Bi (0.511, 0.552, 0.752)  0.00
Bi (0.989, 0.052, 0.748)  0.00
Bi (0.489, 0.448, 0.248)  0.00
O (0.299, 0.678, 0.050)  0.02
O (0.799, 0.822, 0.550)  0.02
O (0.701, 0.322, 0.950)  0.02
O (0.201, 0.178, 0.450)  0.02
O (0.329, 0.709, 0.444)  0.02
O (0.829, 0.791, 0.944)  0.02
O (0.671, 0.291, 0.556)  0.02
O (0.171, 0.209, 0.056)  0.02
O (0.889, 0.539, 0.238)  0.02
O (0.389, 0.961, 0.738)  0.02
O (0.111, 0.461, 0.762)  0.02
O (0.611, 0.039, 0.262)  0.02